No. 1
DFT (PBE) results for a relaxed EuThGa crystal. Values from VASP.

Properties
Its density of states at the Fermi level is 4.20 states/eV/cell. The value obtained for the total energy is -7.0943 eV/atom. The volume is 88.3 Å³ per cell. The energy relative to the elements is -0.19 eV/atom. Its symmetry is I4mm (107).

```
&SYSTEM
  ibrav = 0, nat = 3, ntyp = 3
/
ATOMIC_SPECIES
Eu 151.96 Eu.upf
Ga 69.72 Ga.upf
Th 232.04 Th.upf
ATOMIC_POSITIONS angstrom
Eu -0.087 -0.163 0.260
Ga 1.059 -2.980 1.375
Th -1.166 -2.189 3.494
CELL_PARAMETERS angstrom
-0.029 -3.015 -1.898
3.428 -0.540 0.805
-3.593 -1.778 6.222
```

---

No. 2
DFT (PBE) results for a relaxed EuThGa4 crystal. Values from VASP.

Properties
Its density of states at the Fermi level is 4.25 states/eV/cell. The value obtained for the total energy is -5.4284 eV/atom. The volume is 126.9 Å³ per cell. The energy relative to the elements is -0.46 eV/atom. Its symmetry is F-43m (216).

```
&SYSTEM
  ibrav = 0, nat = 6, ntyp = 3
/
ATOMIC_SPECIES
Eu 151.96 Eu.upf
Ga 69.72 Ga.upf
Th 232.04 Th.upf
ATOMIC_POSITIONS angstrom
Eu 0.380 -3.296 0.961
Ga -0.622 -6.448 0.891
Ga 0.538 -5.604 3.325
Ga 0.950 -8.243 2.404
Ga 2.173 -6.074 1.069
Th 0.000 0.000 0.000
CELL_PARAMETERS angstrom
-2.442 -4.331 2.664
0.823 -5.269 -1.840
3.138 -3.584 3.020
```

---

No. 3
DFT (PBE) results for a relaxed EuThTlGa crystal. Values from VASP.

Properties
Its density of states at the Fermi level is 5.35 states/eV/cell. The value obtained for the total energy is -6.0342 eV/atom. The volume is 112.2 Å³ per cell. The energy relative to the elements is -0.26 eV/atom. Its symmetry is F-43m (216).

```
&SYSTEM
  ibrav = 0, nat = 4, ntyp = 4
/
ATOMIC_SPECIES
Eu 151.96 Eu.upf
Tl 204.38 Tl.upf
Ga 69.72 Ga.upf
Th 232.04 Th.upf
ATOMIC_POSITIONS angstrom
Eu 0.000 0.000 0.000
Tl -9.733 -1.981 -0.491
Ga -3.244 -0.660 -0.164
Th -6.489 -1.321 -0.328
CELL_PARAMETERS angstrom
-4.811 1.858 -1.644
-3.720 -3.437 -1.911
-4.446 -1.063 2.899
```

---

No. 4
DFT (PBE) results for a relaxed EuTiGa2 crystal. Values from VASP.

Properties
Its density of states at the Fermi level is 3.69 states/eV/cell. The value obtained for the total energy is -6.4217 eV/atom. The volume is 82.3 Å³ per cell. The energy relative to the elements is -0.37 eV/atom. Its symmetry is P4/mmm (123).

```
&SYSTEM
  ibrav = 0, nat = 4, ntyp = 3
/
ATOMIC_SPECIES
Eu 151.96 Eu.upf
Ga 69.72 Ga.upf
Ti 47.87 Ti.upf
ATOMIC_POSITIONS angstrom
Eu 1.736 1.736 3.415
Ga 0.000 0.000 5.491
Ga 0.000 0.000 1.339
Ti 1.736 1.736 0.000
CELL_PARAMETERS angstrom
3.472 0.000 0.000
0.000 3.472 0.000
0.000 0.000 6.830
```

---

No. 5
DFT (PBE) results for a relaxed EuTiGa2 crystal. Values from VASP.

Properties
Its density of states at the Fermi level is 3.71 states/eV/cell. The value obtained for the total energy is -6.1749 eV/atom. The volume is 86.3 Å³ per cell. The energy relative to the elements is -0.12 eV/atom. Its symmetry is R-3m (166).

```
&SYSTEM
  ibrav = 0, nat = 4, ntyp = 3
/
ATOMIC_SPECIES
Eu 151.96 Eu.upf
Ga 69.72 Ga.upf
Ti 47.87 Ti.upf
ATOMIC_POSITIONS angstrom
Eu 3.364 1.942 4.405
Ga 5.046 2.913 6.879
Ga 1.682 0.971 1.932
Ti 0.000 0.000 0.000
CELL_PARAMETERS angstrom
3.364 0.000 0.000
1.682 2.913 0.000
1.682 0.971 8.811
```

---

No. 6
DFT (PBE) results for a relaxed EuTl2Ga crystal. Values from VASP.

Properties
Its density of states at the Fermi level is 2.66 states/eV/cell. The value obtained for the total energy is -4.3917 eV/atom. The volume is 124.0 Å³ per cell. The energy relative to the elements is 0.12 eV/atom. Its symmetry is R-3m (166).

```
&SYSTEM
  ibrav = 0, nat = 4, ntyp = 3
/
ATOMIC_SPECIES
Eu 151.96 Eu.upf
Tl 204.38 Tl.upf
Ga 69.72 Ga.upf
ATOMIC_POSITIONS angstrom
Eu 0.000 0.000 0.000
Tl 1.781 1.029 8.012
Tl 5.344 3.086 3.263
Ga 3.563 2.057 5.638
CELL_PARAMETERS angstrom
3.563 0.000 0.000
1.781 3.086 0.000
1.781 1.029 11.275
```

---

No. 7
DFT (PBE) results for a relaxed EuTl2Ga crystal. Values from VASP.

Properties
Its density of states at the Fermi level is 6.29 states/eV/cell. The value obtained for the total energy is -4.7670 eV/atom. The volume is 106.9 Å³ per cell. The energy relative to the elements is -0.26 eV/atom. Its symmetry is P4/mmm (123).

```
&SYSTEM
  ibrav = 0, nat = 4, ntyp = 3
/
ATOMIC_SPECIES
Eu 151.96 Eu.upf
Tl 204.38 Tl.upf
Ga 69.72 Ga.upf
ATOMIC_POSITIONS angstrom
Eu -3.787 -0.477 -1.526
Tl -1.884 1.271 0.632
Tl -1.281 -1.975 0.152
Ga -0.622 0.226 -2.309
CELL_PARAMETERS angstrom
-1.244 0.453 -4.619
-2.563 -3.949 0.303
-3.768 2.542 1.264
```

---

No. 8
DFT (PBE) results for a relaxed Eu2TlGa crystal. Values from VASP.

Properties
Its density of states at the Fermi level is 11.31 states/eV/cell. The value obtained for the total energy is -6.9274 eV/atom. The volume is 116.3 Å³ per cell. The energy relative to the elements is -0.44 eV/atom. Its symmetry is P4/mmm (123).

```
&SYSTEM
  ibrav = 0, nat = 4, ntyp = 3
/
ATOMIC_SPECIES
Eu 151.96 Eu.upf
Tl 204.38 Tl.upf
Ga 69.72 Ga.upf
ATOMIC_POSITIONS angstrom
Eu 0.000 0.000 6.091
Eu 0.000 0.000 1.818
Tl 1.917 1.917 3.955
Ga 1.917 1.917 0.000
CELL_PARAMETERS angstrom
3.835 0.000 0.000
0.000 3.835 0.000
0.000 0.000 7.909
```

---

No. 9
DFT (PBE) results for a relaxed EuTl2Ga crystal. Values from VASP.

Properties
Its density of states at the Fermi level is 1.46 states/eV/cell. The value obtained for the total energy is -4.6987 eV/atom. The volume is 110.4 Å³ per cell. The energy relative to the elements is -0.19 eV/atom. Its symmetry is P4/mmm (123).

```
&SYSTEM
  ibrav = 0, nat = 4, ntyp = 3
/
ATOMIC_SPECIES
Eu 151.96 Eu.upf
Tl 204.38 Tl.upf
Ga 69.72 Ga.upf
ATOMIC_POSITIONS angstrom
Eu 1.913 1.913 3.769
Tl 0.000 0.000 5.893
Tl 0.000 0.000 1.645
Ga 1.913 1.913 0.000
CELL_PARAMETERS angstrom
3.827 0.000 0.000
0.000 3.827 0.000
0.000 0.000 7.538
```

---

No. 10
DFT (PBE) results for a relaxed Eu2TlGa crystal. Values from VASP.

Properties
Its density of states at the Fermi level is 10.82 states/eV/cell. The value obtained for the total energy is -6.5734 eV/atom. The volume is 133.8 Å³ per cell. The energy relative to the elements is -0.09 eV/atom. Its symmetry is R-3m (166).

```
&SYSTEM
  ibrav = 0, nat = 4, ntyp = 3
/
ATOMIC_SPECIES
Eu 151.96 Eu.upf
Tl 204.38 Tl.upf
Ga 69.72 Ga.upf
ATOMIC_POSITIONS angstrom
Eu 1.843 1.064 8.004
Eu 5.529 3.192 3.368
Tl 0.000 0.000 0.000
Ga 3.686 2.128 5.686
CELL_PARAMETERS angstrom
3.686 0.000 0.000
1.843 3.192 0.000
1.843 1.064 11.372
```

---

No. 11
DFT (PBE) results for a relaxed Eu2TlGa crystal. Values from VASP.

Properties
Its density of states at the Fermi level is 11.94 states/eV/cell. The value obtained for the total energy is -6.9083 eV/atom. The volume is 117.0 Å³ per cell. The energy relative to the elements is -0.42 eV/atom. Its symmetry is Fm-3m (225).

```
&SYSTEM
  ibrav = 0, nat = 4, ntyp = 3
/
ATOMIC_SPECIES
Eu 151.96 Eu.upf
Tl 204.38 Tl.upf
Ga 69.72 Ga.upf
ATOMIC_POSITIONS angstrom
Eu 2.745 1.585 1.121
Eu 8.235 4.755 3.362
Tl 0.000 0.000 0.000
Ga 5.490 3.170 2.241
CELL_PARAMETERS angstrom
5.490 0.000 0.000
2.745 4.755 0.000
2.745 1.585 4.483
```

---

No. 12
DFT (PBE) results for a relaxed EuTl2Ga crystal. Values from VASP.

Properties
Its density of states at the Fermi level is 3.02 states/eV/cell. The value obtained for the total energy is -4.7002 eV/atom. The volume is 110.3 Å³ per cell. The energy relative to the elements is -0.19 eV/atom. Its symmetry is Fm-3m (225).

```
&SYSTEM
  ibrav = 0, nat = 4, ntyp = 3
/
ATOMIC_SPECIES
Eu 151.96 Eu.upf
Tl 204.38 Tl.upf
Ga 69.72 Ga.upf
ATOMIC_POSITIONS angstrom
Eu 0.000 0.000 0.000
Tl 2.691 1.554 1.099
Tl 8.074 4.661 3.296
Ga 5.382 3.108 2.197
CELL_PARAMETERS angstrom
5.382 0.000 0.000
2.691 4.661 0.000
2.691 1.554 4.395
```